[1]
Computed, not measured: Ba3ScU2S9 after structural relaxation at the PBE level of DFT.

Properties
- size of the total moment (Bohr magnetons per cell) = 3.00
- uncorrected formation energy (eV/atom) = -1.760
- electronic total energy (eV/cell) = -98.22

a = 7.284 Å, b = 7.284 Å, c = 8.953 Å
α = 90.00°, β = 90.00°, γ = 120.00°
Element x y z (fractional)
Ba 0.000 0.000 0.000
Ba 0.333 0.667 0.660
Ba 0.667 0.333 0.340
Sc 0.000 0.000 0.500
U 0.333 0.667 0.175
U 0.667 0.333 0.825
S 0.000 0.500 0.000
S 0.164 0.328 0.336
S 0.164 0.836 0.336
S 0.328 0.164 0.664
S 0.500 0.000 0.000
S 0.500 0.500 0.000
S 0.672 0.836 0.336
S 0.836 0.164 0.664
S 0.836 0.672 0.664

[2]
Computed, not measured: PuZnRhPb after structural relaxation at the PBE level of DFT.

Properties
- size of the total moment (Bohr magnetons per cell) = 4.93
- energy of formation from the pure elements (eV per atom) = -0.131
- electronic total energy (eV/cell) = -27.19

a = 4.879 Å, b = 4.879 Å, c = 4.879 Å
α = 60.00°, β = 60.00°, γ = 60.00°
Element x y z (fractional)
Pu 0.000 0.000 0.000
Zn 0.750 0.750 0.750
Rh 0.250 0.250 0.250
Pb 0.500 0.500 0.500